(P)
This record from Alexandria describes an optimized crystal structure of Zr3Mo. The functional is PBE.

Unit cell a=6.1567 b=6.1567 c=4.6200 alpha=90.00 beta=90.00 gamma=107.78
Last column: nearest neighbours and their distance in Å.
Sites, in units of the cell vectors:
Mo 0.6300 0.3700 0.2500  6 Zr 2.81-3.00
Mo 0.3700 0.6300 0.7500  6 Zr 2.81-3.00
Zr 0.4038 0.1534 0.7500  3 Mo 2.81-3.00, 4 Zr 3.07-3.09
Zr 0.8900 0.1100 0.7500  10 Zr 3.07-3.18
Zr 0.8466 0.5962 0.7500  3 Mo 2.81-3.00, 4 Zr 3.07-3.09
Zr 0.1534 0.4038 0.2500  3 Mo 2.81-3.00, 4 Zr 3.07-3.09
Zr 0.1100 0.8900 0.2500  10 Zr 3.07-3.18
Zr 0.5962 0.8466 0.2500  3 Mo 2.81-3.00, 4 Zr 3.07-3.09

M_tot ... 0.00 μB/cell
Fermi-level density of states ... 1.378 states/eV/atom
Space-group type ... Cmcm, No. 63



(Q)
This record from Alexandria describes an optimized crystal structure of Zr3Mo. The functional is PBE.

Unit cell a=3.0836 b=3.0836 c=9.6870 alpha=90.00 beta=90.00 gamma=114.51
Last column: nearest neighbours and their distance in Å.
Sites, in units of the cell vectors:
Zr 0.5000 0.5000 0.2219  2 Mo 2.72
Zr 0.5000 0.5000 0.7781  2 Mo 2.72
Zr 0.0000 0.0000 0.5000  10 Zr 3.08-3.34
Mo 0.0000 0.0000 0.0000  4 Zr 2.72

M_tot ... 0.00 μB/cell
Fermi-level density of states ... 1.101 states/eV/atom
Space-group type ... Cmmm, No. 65



In terms of stability, (P) leads; the second structure lies 19 meV per atom higher.



(P)
This record from Alexandria describes an optimized crystal structure of ZrMo5. The functional is PBE.

Unit cell a=4.8391 b=4.8391 c=5.0561 alpha=90.00 beta=90.00 gamma=120.00
Last column: nearest neighbours and their distance in Å.
Sites, in units of the cell vectors:
Mo 0.6667 0.3333 0.5000  9 Mo 2.79-2.99, 3 Zr 2.79
Mo 0.3333 0.6667 0.5000  9 Mo 2.79-2.99, 3 Zr 2.79
Mo 0.3416 0.3416 0.0000  10 Mo 2.76-2.99, 2 Zr 3.02
Mo 0.6584 0.0000 0.0000  10 Mo 2.76-2.99, 2 Zr 3.02
Mo 0.0000 0.6584 0.0000  10 Mo 2.76-2.99, 2 Zr 3.02
Zr 0.0000 0.0000 0.5000  12 Mo 2.79-3.02

M_tot ... 0.00 μB/cell
Fermi-level density of states ... 1.636 states/eV/atom
Space-group type ... P-62m, No. 189



(Q)
This record from Alexandria describes an optimized crystal structure of ZrMo5. The functional is PBE.

Unit cell a=5.3409 b=5.3409 c=4.4392 alpha=90.00 beta=90.00 gamma=120.00
Last column: nearest neighbours and their distance in Å.
Sites, in units of the cell vectors:
Mo 0.5000 0.5000 0.5000  8 Mo 2.67-2.70
Mo 0.6667 0.3333 0.0000  6 Mo 2.70
Mo 0.3333 0.6667 0.0000  6 Mo 2.70
Mo 0.5000 0.0000 0.5000  8 Mo 2.67-2.70
Mo 0.0000 0.5000 0.5000  8 Mo 2.67-2.70
Zr 0.0000 0.0000 0.0000  6 Mo 3.08

M_tot ... 0.00 μB/cell
Fermi-level density of states ... 0.920 states/eV/atom
Space-group type ... P6/mmm, No. 191



(R)
This record from Alexandria describes an optimized crystal structure of ZrMo5. The functional is PBE.

Unit cell a=3.2119 b=7.0302 c=4.5568 alpha=90.00 beta=90.00 gamma=76.80
Last column: nearest neighbours and their distance in Å.
Sites, in units of the cell vectors:
Mo 0.6941 0.6117 0.0000  8 Mo 2.78-2.79
Mo 0.1875 0.6250 0.5000  6 Mo 2.64-2.79, 2 Zr 2.87
Mo 0.0281 0.9438 0.0000  8 Mo 2.78-2.79
Mo 0.3611 0.2778 0.0000  4 Zr 2.79, 4 Mo 2.79
Mo 0.5347 0.9305 0.5000  6 Mo 2.64-2.79, 2 Zr 2.87
Zr 0.8611 0.2778 0.5000  8 Mo 2.79-2.87

M_tot ... 0.00 μB/cell
Fermi-level density of states ... 0.556 states/eV/atom
Space-group type ... Cmmm, No. 65



(S)
This record from Alexandria describes an optimized crystal structure of ZrMo5. The functional is PBE.

Unit cell a=3.2105 b=5.3469 c=6.4396 alpha=72.40 beta=90.00 gamma=72.53
Last column: nearest neighbours and their distance in Å.
Sites, in units of the cell vectors:
Mo 0.6333 0.7334 0.7684  6 Mo 2.68-2.80, 2 Zr 2.84
Mo 0.9755 0.0491 0.9390  6 Mo 2.74-2.80, 2 Zr 2.83
Mo 0.3055 0.3889 0.6111  8 Mo 2.78-2.80
Mo 0.9778 0.0445 0.4538  6 Mo 2.68-2.80, 2 Zr 2.84
Mo 0.6357 0.7287 0.2833  6 Mo 2.74-2.80, 2 Zr 2.83
Zr 0.3056 0.3889 0.1111  8 Mo 2.83-2.84

M_tot ... 0.00 μB/cell
Fermi-level density of states ... 0.485 states/eV/atom
Space-group type ... C2/m, No. 12



In terms of stability, (S) leads; the second structure lies 13 meV per atom higher.



(P)
This record from Alexandria describes an optimized crystal structure of ZrMo5. The functional is PBE.

Unit cell a=3.2112 b=4.5707 c=7.1851 alpha=108.55 beta=90.00 gamma=90.00
Last column: nearest neighbours and their distance in Å.
Sites, in units of the cell vectors:
Mo 0.0000 0.6681 0.3361  8 Mo 2.69-2.80
Mo 0.5000 0.8269 0.6538  6 Mo 2.69-2.79, 2 Zr 2.85
Mo 0.0000 0.3319 0.6639  8 Mo 2.69-2.80
Mo 0.5000 0.5000 0.0000  4 Zr 2.79, 4 Mo 2.80
Mo 0.5000 0.1731 0.3462  6 Mo 2.69-2.79, 2 Zr 2.85
Zr 0.0000 0.0000 0.0000  8 Mo 2.79-2.85

M_tot ... 0.00 μB/cell
Fermi-level density of states ... 0.498 states/eV/atom
Space-group type ... Cmmm, No. 65



(Q)
This record from Alexandria describes an optimized crystal structure of ZrMo5. The functional is PBE.

Unit cell a=5.2911 b=5.2911 c=5.2911 alpha=60.00 beta=60.00 gamma=60.00
Last column: nearest neighbours and their distance in Å.
Sites, in units of the cell vectors:
Mo 0.6247 0.1258 0.6247  6 Mo 2.64-2.65
Mo 0.6247 0.6247 0.1258  6 Mo 2.64-2.65
Mo 0.1258 0.6247 0.6247  6 Mo 2.64-2.65
Mo 0.2500 0.2500 0.2500  12 Mo 3.10, 4 Zr 3.24
Mo 0.6247 0.6247 0.6247  6 Mo 2.64-2.65
Zr 0.0000 0.0000 0.0000  16 Mo 3.10-3.24

M_tot ... 0.00 μB/cell
Fermi-level density of states ... 1.349 states/eV/atom
Space-group type ... F-43m, No. 216



In terms of stability, (P) leads; the second structure lies 146 meV per atom higher.



(P)
This record from Alexandria describes an optimized crystal structure of Zr3Mo5. The functional is PBE.

Unit cell a=5.7405 b=5.7405 c=4.6058 alpha=90.00 beta=90.00 gamma=109.58
Last column: nearest neighbours and their distance in Å.
Sites, in units of the cell vectors:
Mo 0.7658 0.7658 0.5000  3 Mo 2.78-3.10, 6 Zr 2.81-2.93
Mo 0.0000 0.5000 0.0000  6 Zr 2.84-2.87, 2 Mo 2.87
Mo 0.2342 0.2342 0.5000  3 Mo 2.78-3.10, 6 Zr 2.81-2.93
Mo 0.5000 0.0000 0.0000  6 Zr 2.84-2.87, 2 Mo 2.87
Mo 0.0000 0.0000 0.0000  8 Mo 2.78-2.87
Zr 0.7498 0.2502 0.5000  8 Mo 2.81-2.93
Zr 0.5000 0.5000 0.0000  8 Mo 2.87-2.90
Zr 0.2502 0.7498 0.5000  8 Mo 2.81-2.93

M_tot ... 0.00 μB/cell
Fermi-level density of states ... 1.620 states/eV/atom
Space-group type ... Cmmm, No. 65



(Q)
This record from Alexandria describes an optimized crystal structure of Zr3Mo5. The functional is PBE.

Unit cell a=7.9427 b=7.8760 c=7.9490 alpha=93.90 beta=99.96 gamma=140.04
Last column: nearest neighbours and their distance in Å.
Sites, in units of the cell vectors:
Zr 0.7590 0.7144 0.9674  2 Zr 2.70-2.71, 2 Mo 2.98-3.00
Zr 0.8081 0.3434 0.1450  8 Mo 2.74-3.06
Zr 0.1853 0.7086 0.9036  4 Mo 2.64-2.82
Zr 0.6975 0.8428 0.5348  8 Mo 2.74-3.06
Zr 0.3048 0.2087 0.5232  4 Mo 2.64-2.82
Zr 0.2468 0.2159 0.9556  2 Zr 2.70-2.71, 2 Mo 2.98-2.99
Mo 0.2377 0.4687 0.6976  4 Zr 2.73-3.03, 3 Mo 2.75-2.95
Mo 0.0554 0.2412 0.2890  2 Zr 2.65-2.75, 2 Mo 2.89-2.91
Mo 0.2705 0.9691 0.2300  5 Zr 2.73-3.06, 3 Mo 2.75-2.95
Mo 0.7492 0.2438 0.4932  6 Mo 2.70-2.80, 2 Zr 2.91-2.95
Mo 0.7242 0.5783 0.3138  1 Mo 2.45, 1 Zr 2.74
Mo 0.5616 0.1997 0.7747  2 Mo 2.45-2.71, 1 Zr 2.64
Mo 0.9250 0.7002 0.6384  2 Mo 2.45-2.72, 1 Zr 2.64
Mo 0.2499 0.7441 0.4940  6 Mo 2.70-2.79, 2 Zr 2.90-2.95
Mo 0.7650 0.0786 0.8541  1 Mo 2.45, 1 Zr 2.74
Mo 0.4532 0.7427 0.1855  2 Zr 2.65-2.75, 2 Mo 2.89-2.91

M_tot ... 0.00 μB/cell
Fermi-level density of states ... 1.146 states/eV/atom
Space-group type ... P1, No. 1



In terms of stability, (P) leads; the second structure lies 230 meV per atom higher.



(P)
This record from Alexandria describes an optimized crystal structure of Zr3Mo2. The functional is PBE.

Unit cell a=11.0347 b=11.0347 c=11.0347 alpha=17.06 beta=17.06 gamma=17.06
Last column: nearest neighbours and their distance in Å.
Sites, in units of the cell vectors:
Zr 0.2069 0.2069 0.2069  3 Mo 2.75
Zr 0.7931 0.7931 0.7931  3 Mo 2.75
Zr 0.0000 0.0000 0.0000  6 Mo 2.84
Mo 0.6015 0.6015 0.6015  6 Zr 2.75-2.84
Mo 0.3985 0.3985 0.3985  6 Zr 2.75-2.84

M_tot ... 0.00 μB/cell
Fermi-level density of states ... 1.803 states/eV/atom
Space-group type ... R-3m, No. 166



(Q)
This record from Alexandria describes an optimized crystal structure of Zr3Mo2. The functional is PBE.

Unit cell a=8.6280 b=7.5310 c=5.7765 alpha=79.64 beta=59.16 gamma=41.19
Last column: nearest neighbours and their distance in Å.
Sites, in units of the cell vectors:
Zr 0.6438 0.6438 0.8562  1 Mo 2.67, 3 Zr 2.94-2.97
Zr 0.3938 0.3938 0.6062  1 Mo 2.67, 3 Zr 2.94-2.97
Zr 0.6062 0.6062 0.3938  1 Mo 2.67, 3 Zr 2.94-2.97
Zr 0.0000 0.0000 0.0000  6 Mo 2.84-2.96, 4 Zr 3.17
Zr 0.8562 0.8562 0.6438  1 Mo 2.67, 3 Zr 2.94-2.97
Zr 0.2500 0.2500 0.2500  6 Mo 2.84-2.96, 4 Zr 3.17
Mo 0.4529 0.4529 0.0471  4 Zr 2.67-2.96
Mo 0.2029 0.2029 0.7971  4 Zr 2.67-2.96
Mo 0.7971 0.7971 0.2029  4 Zr 2.67-2.96
Mo 0.0471 0.0471 0.4529  4 Zr 2.67-2.96

M_tot ... 0.00 μB/cell
Fermi-level density of states ... 1.165 states/eV/atom
Space-group type ... Fddd, No. 70



In terms of stability, (Q) leads; the second structure lies 89 meV per atom higher.